# KNiHgF6

KNiHgF6 after structural relaxation (PBE+U, Alexandria via LeMat-Bulk).

The structure belongs to space group P-31c (No. 163); the cell edges are 5.7715, 5.7715 and 10.5922 Å and the angles 90.00°, 90.00° and 120.00°. The asymmetric unit holds K at (0.0000, 0.0000, 0.0000), Ni at (0.3333, 0.6667, 0.2500), Hg at (0.3333, 0.6667, 0.7500) and F at (0.0444, 0.3967, 0.1471).

The total energy is -3.56 eV/atom.